Crystalline K2TlHgH at its relaxed geometry. Source: Alexandria, functional PBE-GGA.

Structure (POSCAR):
```
K2TlHgH
1.0
5.3425 0.0000 0.0000
0.0000 5.3425 0.0000
0.0000 0.0000 5.1528
K Tl Hg H
2 1 1 1
direct
0.0000 0.5000 0.0000
0.5000 0.0000 0.0000
0.0000 0.0000 0.5000
0.5000 0.5000 0.5000
0.0000 0.0000 0.0000
```

Energy above the most stable polymorph in this dataset, eV/f.u.: 0.00

---

Crystalline K2TlHgH at its relaxed geometry. Source: Alexandria, functional PBE-GGA.

Structure (POSCAR):
```
K2TlHgH
1.0
5.1755 0.0000 0.0000
0.0000 5.1755 0.0000
0.0000 0.0000 5.5110
K Tl Hg H
2 1 1 1
direct
0.0000 0.5000 0.0000
0.5000 0.0000 0.0000
0.0000 0.0000 0.5000
0.5000 0.5000 0.5000
0.5000 0.5000 0.0000
```

Energy above the most stable polymorph in this dataset, eV/f.u.: 0.32

---

Crystalline LaHg3H at its relaxed geometry. Source: Alexandria, functional PBE-GGA.

Structure (POSCAR):
```
LaHg3H
1.0
6.2865 0.0000 0.0000
0.0000 6.2865 0.0000
0.0000 0.0000 6.2865
La Hg H
1 3 1
direct
0.0000 0.0000 0.0000
0.0000 0.0000 0.5000
0.0000 0.5000 0.0000
0.5000 0.0000 0.0000
0.5000 0.5000 0.5000
```

Energy above the most stable polymorph in this dataset, eV/f.u.: 3.36

---

Crystalline LaHg2H2 at its relaxed geometry. Source: Alexandria, functional PBE-GGA.

Structure (POSCAR):
```
LaHg2H2
1.0
6.3040 0.0000 0.0000
0.0000 6.3040 0.0000
0.0000 0.0000 4.9104
La Hg H
2 4 4
direct
0.0000 0.0000 0.0000
0.5000 0.5000 0.0000
0.1800 0.3200 0.5000
0.3200 0.8200 0.5000
0.6800 0.1800 0.5000
0.8200 0.6800 0.5000
0.1732 0.3268 0.0000
0.3268 0.8268 0.0000
0.6732 0.1732 0.0000
0.8268 0.6732 0.0000
```

Energy above the most stable polymorph in this dataset, eV/f.u.: 0.00

---

Crystalline La2HgH3 at its relaxed geometry. Source: Alexandria, functional PBE-GGA.

Structure (POSCAR):
```
La2HgH3
1.0
7.9845 -2.0133 0.0000
7.9845 2.0133 0.0000
-3.0423 0.0000 6.8602
La Hg H
4 2 6
direct
0.0275 0.0275 0.2755
0.2967 0.2967 0.3165
0.7033 0.7033 0.6835
0.9725 0.9725 0.7245
0.3774 0.3774 0.9456
0.6226 0.6226 0.0544
0.1000 0.1000 0.6321
0.1949 0.1949 0.4822
0.4352 0.4352 0.5733
0.5648 0.5648 0.4267
0.8051 0.8051 0.5178
0.9000 0.9000 0.3679
```

Uncorrected energy, eV/atom: -3.891

---

Crystalline LaHg3H at its relaxed geometry. Source: Alexandria, functional PBE-GGA.

Structure (POSCAR):
```
LaHg3H
1.0
4.8346 0.0000 0.0000
0.0000 4.8346 0.0000
0.0000 0.0000 4.8346
La Hg H
1 3 1
direct
0.0000 0.0000 0.0000
0.0000 0.5000 0.5000
0.5000 0.0000 0.5000
0.5000 0.5000 0.0000
0.5000 0.5000 0.5000
```

Energy above the most stable polymorph in this dataset, eV/f.u.: 0.00